[1]
Er2Al after structural relaxation. Source: the Open Quantum Materials Database, functional PBE.

```
data_Er2Al
_chemical_formula_sum 'Er8 Al4'
_cell_length_a 6.5074
_cell_length_b 5.0485
_cell_length_c 9.3688
_cell_angle_alpha 90.00
_cell_angle_beta 90.00
_cell_angle_gamma 90.00
_symmetry_space_group_name_H-M 'P n m a'
_symmetry_Int_Tables_number 62
_symmetry_space_group_name_Hall '-P 2ac 2n'
loop_
_atom_site_label
_atom_site_fract_x
_atom_site_fract_y
_atom_site_fract_z
Er1 0.0291 0.2500 0.2102
Er2 0.1858 0.2500 0.5721
Al1 0.2069 0.2500 0.8964
```

Results
**Calculated volume**: 25.65 A^3/atom
**Size of the total moment**: 0.01 μB/f.u.
**Calculated density**: 7.80 g/cm³
**E_tot**: -4.5883 eV per atom

[2]
ErAlFe after structural relaxation. Source: the Open Quantum Materials Database, functional PBE.

```
data_ErAlFe
_chemical_formula_sum 'Er4 Al4 Fe4'
_cell_length_a 6.4145
_cell_length_b 6.4145
_cell_length_c 6.4145
_cell_angle_alpha 90.00
_cell_angle_beta 90.00
_cell_angle_gamma 90.00
_symmetry_space_group_name_H-M 'F -4 3 m'
_symmetry_Int_Tables_number 216
_symmetry_space_group_name_Hall 'F -4 2 3'
loop_
_atom_site_label
_atom_site_fract_x
_atom_site_fract_y
_atom_site_fract_z
Er1 0.0000 0.0000 0.0000
Al1 0.2500 0.2500 0.7500
Fe1 0.2500 0.2500 0.2500
```

Results
**Calculated volume**: 21.99 A^3/atom
**Size of the total moment**: 2.14 μB/f.u.
**Calculated density**: 6.29 g/cm³
**E_tot**: -4.6758 eV per atom

[3]
ErAlFe after structural relaxation. Source: the Open Quantum Materials Database, functional PBE.

```
data_ErAlFe
_chemical_formula_sum 'Er4 Al4 Fe4'
_cell_length_a 6.1433
_cell_length_b 6.1433
_cell_length_c 6.1433
_cell_angle_alpha 90.00
_cell_angle_beta 90.00
_cell_angle_gamma 90.00
_symmetry_space_group_name_H-M 'F -4 3 m'
_symmetry_Int_Tables_number 216
_symmetry_space_group_name_Hall 'F -4 2 3'
loop_
_atom_site_label
_atom_site_fract_x
_atom_site_fract_y
_atom_site_fract_z
Er1 0.0000 0.0000 0.0000
Al1 0.0000 0.0000 0.5000
Fe1 0.2500 0.2500 0.7500
```

Results
**Calculated volume**: 19.32 A^3/atom
**Size of the total moment**: 0.05 μB/f.u.
**Calculated density**: 7.16 g/cm³
**E_tot**: -5.4652 eV per atom

[4]
Er2Al3Fe14 after structural relaxation. Source: the Open Quantum Materials Database, functional PBE.

```
data_Er2Al3Fe14
_chemical_formula_sum 'Er4 Al6 Fe28'
_cell_length_a 8.4716
_cell_length_b 8.4716
_cell_length_c 8.1906
_cell_angle_alpha 90.00
_cell_angle_beta 90.00
_cell_angle_gamma 120.00
_symmetry_space_group_name_H-M 'P 63/m m c'
_symmetry_Int_Tables_number 194
_symmetry_space_group_name_Hall '-P 6c 2c'
loop_
_atom_site_label
_atom_site_fract_x
_atom_site_fract_y
_atom_site_fract_z
Er1 0.0000 0.0000 0.2500
Er2 0.3333 0.6667 0.2500
Al1 0.0000 0.5000 0.0000
Fe1 0.0270 0.3483 0.7500
Fe2 0.1653 0.3306 0.0135
Fe3 0.3333 0.6667 0.6119
```

Results
**Calculated volume**: 13.40 A^3/atom
**Size of the total moment**: 28.04 μB/f.u.
**Calculated density**: 7.81 g/cm³
**E_tot**: -7.3313 eV per atom

[5]
Er2AlGaFe4 after structural relaxation. Source: the Open Quantum Materials Database, functional PBE.

```
data_Er2AlGaFe4
_chemical_formula_sum 'Er2 Al1 Ga1 Fe4'
_cell_length_a 3.9337
_cell_length_b 4.9292
_cell_length_c 6.8023
_cell_angle_alpha 90.00
_cell_angle_beta 90.00
_cell_angle_gamma 90.00
_symmetry_space_group_name_H-M 'P m m 2'
_symmetry_Int_Tables_number 25
_symmetry_space_group_name_Hall 'P 2 -2'
loop_
_atom_site_label
_atom_site_fract_x
_atom_site_fract_y
_atom_site_fract_z
Er1 0.0000 0.0000 0.0000
Er2 0.0000 0.5000 0.3775
Al1 0.5000 0.0000 0.3586
Ga1 0.5000 0.5000 0.0289
Fe1 0.0000 0.0000 0.5922
Fe2 0.0000 0.5000 0.7857
Fe3 0.5000 0.2504 0.6893
```

Results
**Calculated volume**: 16.49 A^3/atom
**Size of the total moment**: 7.19 μB/f.u.
**Calculated density**: 8.24 g/cm³
**E_tot**: -6.4641 eV per atom

[6]
HoErAl4Fe2 after structural relaxation. Source: the Open Quantum Materials Database, functional PBE.

```
data_HoErAl4Fe2
_chemical_formula_sum 'Ho2 Er2 Al8 Fe4'
_cell_length_a 7.0759
_cell_length_b 3.9831
_cell_length_c 10.0136
_cell_angle_alpha 90.00
_cell_angle_beta 90.00
_cell_angle_gamma 90.00
_symmetry_space_group_name_H-M 'A m m 2'
_symmetry_Int_Tables_number 38
_symmetry_space_group_name_Hall 'A 2 -2'
loop_
_atom_site_label
_atom_site_fract_x
_atom_site_fract_y
_atom_site_fract_z
Ho1 0.0000 0.0000 0.0000
Er1 0.5000 0.0000 0.8788
Al1 0.1935 0.0000 0.2822
Al2 0.3075 0.0000 0.5967
Fe1 0.0000 0.0000 0.7241
Fe2 0.5000 0.0000 0.1549
```

Results
**Calculated volume**: 17.64 A^3/atom
**Size of the total moment**: 1.74 μB/f.u.
**Calculated density**: 6.49 g/cm³
**E_tot**: -5.4601 eV per atom

[7]
HoErAl2Fe4 after structural relaxation. Source: the Open Quantum Materials Database, functional PBE.

```
data_HoErAl2Fe4
_chemical_formula_sum 'Ho1 Er1 Al2 Fe4'
_cell_length_a 3.9329
_cell_length_b 4.9261
_cell_length_c 6.7932
_cell_angle_alpha 90.00
_cell_angle_beta 90.00
_cell_angle_gamma 90.00
_symmetry_space_group_name_H-M 'P m m 2'
_symmetry_Int_Tables_number 25
_symmetry_space_group_name_Hall 'P 2 -2'
loop_
_atom_site_label
_atom_site_fract_x
_atom_site_fract_y
_atom_site_fract_z
Ho1 0.0000 0.0000 0.0000
Er1 0.0000 0.5000 0.3806
Al1 0.5000 0.0000 0.3555
Al2 0.5000 0.5000 0.0246
Fe1 0.0000 0.0000 0.5921
Fe2 0.0000 0.5000 0.7871
Fe3 0.5000 0.2502 0.6896
```

Results
**Calculated volume**: 16.45 A^3/atom
**Size of the total moment**: 7.07 μB/f.u.
**Calculated density**: 7.69 g/cm³
**E_tot**: -6.5328 eV per atom

[8]
ErAl9Fe4Si6 after structural relaxation. Source: the Open Quantum Materials Database, functional PBE.

```
data_ErAl9Fe4Si6
_chemical_formula_sum 'Er4 Al36 Fe16 Si24'
_cell_length_a 8.6389
_cell_length_b 8.6389
_cell_length_c 15.1286
_cell_angle_alpha 90.00
_cell_angle_beta 90.00
_cell_angle_gamma 90.00
_symmetry_space_group_name_H-M 'P 42/n m c'
_symmetry_Int_Tables_number 137
loop_
_symmetry_equiv_pos_as_xyz
'x,y,z'
'-x,-y,-z'
'-y+1/2,x,z+1/2'
'y+1/2,-x,-z+1/2'
'-x+1/2,-y+1/2,z'
'x+1/2,y+1/2,-z'
'y,-x+1/2,z+1/2'
'-y,x+1/2,-z+1/2'
'x+1/2,-y,-z'
'-x+1/2,y,z'
'-y,-x,-z+1/2'
'y,x,z+1/2'
'-x,y+1/2,-z'
'x,-y+1/2,z'
'y+1/2,x+1/2,-z+1/2'
'-y+1/2,-x+1/2,z+1/2'
loop_
_atom_site_label
_atom_site_fract_x
_atom_site_fract_y
_atom_site_fract_z
Er1 0.2500 0.2500 0.1642
Al1 0.0039 0.5472 0.4190
Al2 0.0665 0.2500 0.8391
Al3 0.0940 0.7500 0.8516
Al4 0.2500 0.7500 0.0219
Fe1 0.0053 0.5053 0.2500
Fe2 0.0279 0.2500 0.0001
Si1 0.0120 0.2500 0.3117
Si2 0.0931 0.7500 0.3068
Si3 0.1119 0.2500 0.4709
```

Results
**Calculated volume**: 14.11 A^3/atom
**Size of the total moment**: 0.00 μB/f.u.
**Calculated density**: 4.72 g/cm³
**E_tot**: -5.5998 eV per atom

[9]
TbErAl4Fe2 after structural relaxation. Source: the Open Quantum Materials Database, functional PBE.

```
data_TbErAl4Fe2
_chemical_formula_sum 'Tb2 Er2 Al8 Fe4'
_cell_length_a 7.0201
_cell_length_b 4.0352
_cell_length_c 10.0929
_cell_angle_alpha 90.00
_cell_angle_beta 90.00
_cell_angle_gamma 90.00
_symmetry_space_group_name_H-M 'A m m 2'
_symmetry_Int_Tables_number 38
_symmetry_space_group_name_Hall 'A 2 -2'
loop_
_atom_site_label
_atom_site_fract_x
_atom_site_fract_y
_atom_site_fract_z
Tb1 0.0000 0.0000 0.0000
Er1 0.5000 0.0000 0.8763
Al1 0.1948 0.0000 0.2820
Al2 0.3076 0.0000 0.5946
Fe1 0.0000 0.0000 0.7246
Fe2 0.5000 0.0000 0.1522
```

Results
**Calculated volume**: 17.87 A^3/atom
**Size of the total moment**: 1.97 μB/f.u.
**Calculated density**: 6.34 g/cm³
**E_tot**: -5.4614 eV per atom

[10]
ErTmAl4Fe2 after structural relaxation. Source: the Open Quantum Materials Database, functional PBE.

```
data_ErTmAl4Fe2
_chemical_formula_sum 'Er2 Tm2 Al8 Fe4'
_cell_length_a 7.0344
_cell_length_b 4.0133
_cell_length_c 9.9603
_cell_angle_alpha 90.00
_cell_angle_beta 90.00
_cell_angle_gamma 90.00
_symmetry_space_group_name_H-M 'A m m 2'
_symmetry_Int_Tables_number 38
_symmetry_space_group_name_Hall 'A 2 -2'
loop_
_atom_site_label
_atom_site_fract_x
_atom_site_fract_y
_atom_site_fract_z
Er1 0.0000 0.0000 0.0000
Tm1 0.5000 0.0000 0.1260
Al1 0.1944 0.0000 0.7175
Al2 0.3066 0.0000 0.4084
Fe1 0.0000 0.0000 0.2769
Fe2 0.5000 0.0000 0.8488
```

Results
**Calculated volume**: 17.57 A^3/atom
**Size of the total moment**: 1.92 μB/f.u.
**Calculated density**: 6.56 g/cm³
**E_tot**: -5.4511 eV per atom

[11]
Er2AlGa5 after structural relaxation. Source: the Open Quantum Materials Database, functional PBE.

```
data_Er2AlGa5
_chemical_formula_sum 'Er4 Al2 Ga10'
_cell_length_a 4.5425
_cell_length_b 6.2365
_cell_length_c 10.7671
_cell_angle_alpha 90.00
_cell_angle_beta 90.00
_cell_angle_gamma 90.00
_symmetry_space_group_name_H-M 'A m m 2'
_symmetry_Int_Tables_number 38
_symmetry_space_group_name_Hall 'A 2 -2'
loop_
_atom_site_label
_atom_site_fract_x
_atom_site_fract_y
_atom_site_fract_z
Er1 0.0000 0.0000 0.0000
Er2 0.5000 0.0000 0.3321
Al1 0.0000 0.0000 0.5209
Ga1 0.0000 0.2236 0.7417
Ga2 0.5000 0.0000 0.8149
Ga3 0.5000 0.2222 0.5904
```

Results
**Calculated volume**: 19.06 A^3/atom
**Size of the total moment**: 0.00 μB/f.u.
**Calculated density**: 7.73 g/cm³
**E_tot**: -3.9963 eV per atom

[12]
ErAlGa2 after structural relaxation. Source: the Open Quantum Materials Database, functional PBE.

```
data_ErAlGa2
_chemical_formula_sum 'Er4 Al4 Ga8'
_cell_length_a 4.5568
_cell_length_b 10.8148
_cell_length_c 6.2070
_cell_angle_alpha 90.00
_cell_angle_beta 90.00
_cell_angle_gamma 90.00
_symmetry_space_group_name_H-M 'A m a 2'
_symmetry_Int_Tables_number 40
_symmetry_space_group_name_Hall 'A 2 -2a'
loop_
_atom_site_label
_atom_site_fract_x
_atom_site_fract_y
_atom_site_fract_z
Er1 0.2500 0.1675 0.0000
Al1 0.2500 0.4282 0.2191
Ga1 0.2500 0.1504 0.5019
Ga2 0.2500 0.4265 0.7739
```

Results
**Calculated volume**: 19.12 A^3/atom
**Size of the total moment**: 0.00 μB/f.u.
**Calculated density**: 7.25 g/cm³
**E_tot**: -4.0685 eV per atom

[13]
ErAl2Ga after structural relaxation. Source: the Open Quantum Materials Database, functional PBE.

```
data_ErAl2Ga
_chemical_formula_sum 'Er4 Al8 Ga4'
_cell_length_a 4.5601
_cell_length_b 6.2472
_cell_length_c 10.7777
_cell_angle_alpha 90.00
_cell_angle_beta 90.00
_cell_angle_gamma 90.00
_symmetry_space_group_name_H-M 'A m m 2'
_symmetry_Int_Tables_number 38
_symmetry_space_group_name_Hall 'A 2 -2'
loop_
_atom_site_label
_atom_site_fract_x
_atom_site_fract_y
_atom_site_fract_z
Er1 0.0000 0.0000 0.0000
Er2 0.5000 0.0000 0.3322
Al1 0.0000 0.0000 0.5203
Al2 0.5000 0.0000 0.8132
Al3 0.5000 0.2212 0.5912
Ga1 0.0000 0.2228 0.7411
```

Results
**Calculated volume**: 19.19 A^3/atom
**Size of the total moment**: 0.00 μB/f.u.
**Calculated density**: 6.29 g/cm³
**E_tot**: -4.2181 eV per atom

[14]
ErAlGa2 after structural relaxation. Source: the Open Quantum Materials Database, functional PBE.

```
data_ErAlGa2
_chemical_formula_sum 'Er4 Al4 Ga8'
_cell_length_a 4.5370
_cell_length_b 6.2243
_cell_length_c 10.8215
_cell_angle_alpha 90.00
_cell_angle_beta 90.00
_cell_angle_gamma 90.00
_symmetry_space_group_name_H-M 'A m m 2'
_symmetry_Int_Tables_number 38
_symmetry_space_group_name_Hall 'A 2 -2'
loop_
_atom_site_label
_atom_site_fract_x
_atom_site_fract_y
_atom_site_fract_z
Er1 0.0000 0.0000 0.0000
Er2 0.5000 0.0000 0.3356
Al1 0.5000 0.2200 0.5964
Ga1 0.0000 0.0000 0.5190
Ga2 0.0000 0.2246 0.7406
Ga3 0.5000 0.0000 0.8179
```

Results
**Calculated volume**: 19.10 A^3/atom
**Size of the total moment**: 0.00 μB/f.u.
**Calculated density**: 7.25 g/cm³
**E_tot**: -4.0712 eV per atom

[15]
GdEr2Mg3AlGa2 after structural relaxation. Source: the Open Quantum Materials Database, functional PBE.

```
data_GdEr2Mg3AlGa2
_chemical_formula_sum 'Gd2 Er4 Mg6 Al2 Ga4'
_cell_length_a 4.4917
_cell_length_b 12.6153
_cell_length_c 7.2322
_cell_angle_alpha 90.00
_cell_angle_beta 90.00
_cell_angle_gamma 90.00
_symmetry_space_group_name_H-M 'A m m 2'
_symmetry_Int_Tables_number 38
_symmetry_space_group_name_Hall 'A 2 -2'
loop_
_atom_site_label
_atom_site_fract_x
_atom_site_fract_y
_atom_site_fract_z
Gd1 0.0000 0.0000 0.0000
Er1 0.0000 0.2174 0.3478
Mg1 0.5000 0.0000 0.3204
Mg2 0.5000 0.1222 0.6864
Al1 0.0000 0.0000 0.5613
Ga1 0.5000 0.1682 0.0651
```

Results
**Calculated volume**: 22.77 A^3/atom
**Size of the total moment**: 0.01 μB/f.u.
**Calculated density**: 5.92 g/cm³
**E_tot**: -3.5678 eV per atom

[16]
Er3AlGa2Ge2Pt after structural relaxation. Source: the Open Quantum Materials Database, functional PBE.

```
data_Er3AlGa2Ge2Pt
_chemical_formula_sum 'Er6 Al2 Ga4 Ge4 Pt2'
_cell_length_a 4.2145
_cell_length_b 12.2330
_cell_length_c 6.8677
_cell_angle_alpha 90.00
_cell_angle_beta 90.00
_cell_angle_gamma 90.00
_symmetry_space_group_name_H-M 'A m m 2'
_symmetry_Int_Tables_number 38
_symmetry_space_group_name_Hall 'A 2 -2'
loop_
_atom_site_label
_atom_site_fract_x
_atom_site_fract_y
_atom_site_fract_z
Er1 0.0000 0.0000 0.0000
Er2 0.0000 0.2082 0.6139
Al1 0.5000 0.0000 0.6440
Ga1 0.5000 0.1191 0.2948
Ge1 0.5000 0.1630 0.9076
Pt1 0.0000 0.0000 0.4234
```

Results
**Calculated volume**: 19.67 A^3/atom
**Size of the total moment**: 0.01 μB/f.u.
**Calculated density**: 9.46 g/cm³
**E_tot**: -5.1617 eV per atom

[17]
HoEr2Mg3AlGa2 after structural relaxation. Source: the Open Quantum Materials Database, functional PBE.

```
data_HoEr2Mg3AlGa2
_chemical_formula_sum 'Ho2 Er4 Mg6 Al2 Ga4'
_cell_length_a 4.4810
_cell_length_b 12.5357
_cell_length_c 7.2253
_cell_angle_alpha 90.00
_cell_angle_beta 90.00
_cell_angle_gamma 90.00
_symmetry_space_group_name_H-M 'A m m 2'
_symmetry_Int_Tables_number 38
_symmetry_space_group_name_Hall 'A 2 -2'
loop_
_atom_site_label
_atom_site_fract_x
_atom_site_fract_y
_atom_site_fract_z
Ho1 0.0000 0.0000 0.0000
Er1 0.0000 0.2177 0.3470
Mg1 0.5000 0.0000 0.3202
Mg2 0.5000 0.1221 0.6866
Al1 0.0000 0.0000 0.5637
Ga1 0.5000 0.1670 0.0647
```

Results
**Calculated volume**: 22.55 A^3/atom
**Size of the total moment**: 0.00 μB/f.u.
**Calculated density**: 6.05 g/cm³
**E_tot**: -3.5552 eV per atom

[18]
Er3Mg3AlGa2 after structural relaxation. Source: the Open Quantum Materials Database, functional PBE.

```
data_Er3Mg3AlGa2
_chemical_formula_sum 'Er3 Mg3 Al1 Ga2'
_cell_length_a 7.2281
_cell_length_b 7.2281
_cell_length_c 4.4676
_cell_angle_alpha 90.00
_cell_angle_beta 90.00
_cell_angle_gamma 120.00
_symmetry_space_group_name_H-M 'P -6 2 m'
_symmetry_Int_Tables_number 189
_symmetry_space_group_name_Hall 'P -6 -2'
loop_
_atom_site_label
_atom_site_fract_x
_atom_site_fract_y
_atom_site_fract_z
Er1 0.0000 0.5662 0.0000
Mg1 0.0000 0.2461 0.5000
Al1 0.0000 0.0000 0.0000
Ga1 0.3333 0.6667 0.5000
```

Results
**Calculated volume**: 22.46 A^3/atom
**Size of the total moment**: 0.00 μB/f.u.
**Calculated density**: 6.09 g/cm³
**E_tot**: -3.5513 eV per atom

[19]
Tb2ErMg3AlGa2 after structural relaxation. Source: the Open Quantum Materials Database, functional PBE.

```
data_Tb2ErMg3AlGa2
_chemical_formula_sum 'Tb4 Er2 Mg6 Al2 Ga4'
_cell_length_a 4.5020
_cell_length_b 12.5660
_cell_length_c 7.2938
_cell_angle_alpha 90.00
_cell_angle_beta 90.00
_cell_angle_gamma 90.00
_symmetry_space_group_name_H-M 'A m m 2'
_symmetry_Int_Tables_number 38
_symmetry_space_group_name_Hall 'A 2 -2'
loop_
_atom_site_label
_atom_site_fract_x
_atom_site_fract_y
_atom_site_fract_z
Tb1 0.0000 0.2173 0.0000
Er1 0.0000 0.0000 0.3483
Mg1 0.5000 0.0000 0.0265
Mg2 0.5000 0.1220 0.6601
Al1 0.0000 0.0000 0.7799
Ga1 0.5000 0.1656 0.2827
```

Results
**Calculated volume**: 22.92 A^3/atom
**Size of the total moment**: 0.02 μB/f.u.
**Calculated density**: 5.83 g/cm³
**E_tot**: -3.5767 eV per atom